No. 1
PmGaP2: optimized geometry, PBE.

Relative energy among the computed polymorphs (eV per formula unit): 0.07
Formation enthalpy at 0 K (meV/atom): -508
Crystal system: tetragonal
Space-group type: No. 123

abc: 3.795 4.524 4.524
angles: 90.00 90.00 90.00
Fractional positions:
Pm1 0.500 0.500 0.500
Ga1 0.500 0.000 0.000
P1 0.000 0.500 0.000
P2 0.000 0.000 0.500


No. 2
CaBRh3: optimized geometry, PBE.

Formation enthalpy at 0 K (meV/atom): -402
Crystal system: hexagonal
Space-group type: No. 194

abc: 5.886 5.886 9.960
angles: 90.00 90.00 120.00
Fractional positions:
Ca1 0.000 0.000 0.500
Ca2 0.333 0.667 0.250
Ca3 0.000 0.000 0.000
Ca4 0.667 0.333 0.750
Rh1 0.331 0.166 0.250
Rh2 0.834 0.669 0.250
Rh3 0.500 0.000 0.500
Rh4 0.166 0.331 0.750
Rh5 0.500 0.500 0.000
Rh6 0.000 0.500 0.500
Rh7 0.834 0.166 0.250
Rh8 0.500 0.500 0.500
Rh9 0.669 0.834 0.750
Rh10 0.166 0.834 0.750
Rh11 0.500 0.000 0.000
Rh12 0.000 0.500 0.000
B1 0.333 0.667 0.872
B2 0.333 0.667 0.628
B3 0.667 0.333 0.372
B4 0.667 0.333 0.128


No. 3
BTeH3: optimized geometry, PBE.

Relative energy among the computed polymorphs (eV per formula unit): 5.69
Crystal system: cubic
Space-group type: No. 221

abc: 3.464 3.464 3.464
angles: 90.00 90.00 90.00
Fractional positions:
Te1 0.500 0.500 0.500
H1 0.000 0.500 0.000
H2 0.500 0.000 0.000
H3 0.000 0.000 0.500
B1 0.000 0.000 0.000


No. 4
Nb3VSb: optimized geometry, PBE.

Relative energy among the computed polymorphs (eV per formula unit): 4.55
Crystal system: cubic
Space-group type: No. 221

abc: 5.019 5.019 5.019
angles: 90.00 90.00 90.00
Site moments in Bohr magnetons follow the coordinates.
Fractional positions:
V1 0.500 0.500 0.500  2.53
Nb1 0.500 0.000 0.000  -0.32
Nb2 0.000 0.000 0.500  -0.32
Nb3 0.000 0.500 0.000  -0.32
Sb1 0.000 0.000 0.000  0.00


No. 5
AlCuPt: optimized geometry, PBE.

Relative energy among the computed polymorphs (eV per formula unit): 0.07
Formation enthalpy at 0 K (meV/atom): -634
Crystal system: orthorhombic
Space-group type: No. 43

abc: 8.875 4.742 7.920
angles: 90.00 90.00 90.00
Fractional positions:
Al1 0.750 0.250 0.559
Al2 0.250 0.750 0.559
Al3 0.500 0.500 0.809
Al4 0.000 0.500 0.309
Al5 0.500 0.000 0.309
Al6 0.000 0.000 0.809
Al7 0.750 0.750 0.059
Al8 0.250 0.250 0.059
Pt1 0.750 0.250 0.892
Pt2 0.500 0.000 0.642
Pt3 0.250 0.750 0.892
Pt4 0.000 0.000 0.142
Pt5 0.500 0.500 0.142
Pt6 0.750 0.750 0.392
Pt7 0.000 0.500 0.642
Pt8 0.250 0.250 0.392
Cu1 0.500 0.000 0.979
Cu2 0.250 0.250 0.729
Cu3 0.750 0.750 0.729
Cu4 0.000 0.000 0.479
Cu5 0.500 0.500 0.479
Cu6 0.750 0.250 0.229
Cu7 0.000 0.500 0.979
Cu8 0.250 0.750 0.229


No. 6
La2AlNiPt6: optimized geometry, PBE.

Formation enthalpy at 0 K (meV/atom): -842
Crystal system: monoclinic
Space-group type: No. 12

abc: 8.437 5.453 6.640
angles: 65.75 51.25 89.97
Fractional positions:
Pt1 0.248 0.246 0.006
Pt2 0.398 0.249 0.501
Pt3 0.752 0.252 0.994
Pt4 0.248 0.748 0.006
Pt5 0.602 0.751 0.499
Pt6 0.752 0.754 0.994
La1 0.202 0.743 0.515
La2 0.798 0.257 0.485
Ni1 0.000 0.000 0.000
Al1 0.500 0.500 0.000


No. 7
KSr2Cd2: optimized geometry, PBE.

Relative energy among the computed polymorphs (eV per formula unit): 0.00
Formation enthalpy at 0 K (meV/atom): -180
Crystal system: tetragonal
Space-group type: No. 127

abc: 9.370 9.370 4.517
angles: 90.00 90.00 90.00
Fractional positions:
Sr1 0.162 0.662 0.500
Sr2 0.838 0.338 0.500
Sr3 0.662 0.838 0.500
Sr4 0.338 0.162 0.500
Cd1 0.124 0.376 0.000
Cd2 0.376 0.876 0.000
Cd3 0.624 0.124 0.000
Cd4 0.876 0.624 0.000
K1 0.500 0.500 0.000
K2 0.000 0.000 0.000


No. 8
LaSc2Hg: optimized geometry, PBE.

Formation enthalpy at 0 K (meV/atom): -170
Crystal system: orthorhombic
Space-group type: No. 71

abc: 6.395 6.395 5.472
angles: 64.68 64.68 32.69
Fractional positions:
Sc1 0.529 0.529 0.471
Sc2 0.971 0.971 0.029
Hg1 0.250 0.250 0.250
La1 0.750 0.750 0.750


For each record above, in turn, the calculated spin magnetization values are 0.00, 0.00, 0.00, 0.38, 0.00, 0.00, 0.00, 0.00 μB per atom.
For each record above, in turn, the calculated E_tot values are -5.157, -6.549, -2.818, -7.017, -5.260, -6.404, -1.439, -4.643 eV per atom.